No. 1
Be2NiCl: optimized geometry, PBE.

a b c (Å): 2.8151 2.8151 7.6992
angles (deg): 90.00 90.00 117.42
With the nearest neighbours (Å) after each atom.
Fractional coordinates of all 4 atoms:
Be1 0.5000 0.5000 0.2495  2 Cl 2.03
Ni1 0.5000 0.5000 0.8098  2 Be 2.12
Be2 0.0000 0.0000 0.0084  2 Ni 2.12, 2 Be 2.36
Cl1 0.0000 0.0000 0.4323  2 Be 2.03

Summary:
ΔE to the lowest computed polymorph = 1.74 eV/f.u.
Raw formation energy = 0.30 eV per atom
ρ = 3439 kg/m3
Space group = No. 35

No. 2
DyErInGa: optimized geometry, PBE.

a b c (Å): 5.1745 5.1745 5.1745
angles (deg): 60.00 60.00 60.00
With the nearest neighbours (Å) after each atom.
Fractional coordinates of all 4 atoms:
Ga1 0.0000 0.0000 0.0000  4 Er 3.17, 4 Dy 3.17
In1 0.5000 0.5000 0.5000  4 Er 3.17, 4 Dy 3.17
Dy1 0.2500 0.2500 0.2500  4 In 3.17, 4 Ga 3.17
Er1 0.7500 0.7500 0.7500  4 In 3.17, 4 Ga 3.17

Summary:
ΔE to the lowest computed polymorph = 0.08 eV/f.u.
ρ = 8717 kg/m3
Energy relative to the elements = -2.0 eV/f.u.
Space group = No. 216